(1)
Crystalline La3Ga8Ag3 at its relaxed geometry, computed with PBE.

Cell lengths 8.6050, 8.6050, 8.6050 Å; angles 149.77, 112.25, 75.96 degrees
With the nearest neighbours (Å) after each atom.
Positions (direct):
La1 0.0000 0.0000 0.0000  12 Ga 3.32-3.37, 4 Ag 3.67
La2 0.3007 0.3007 0.0000  10 Ga 3.17-3.42, 4 Ag 3.30-3.51
La3 0.6993 0.6993 0.0000  10 Ga 3.17-3.42, 4 Ag 3.30-3.51
Ga1 0.0255 0.6593 0.3662  4 Ga 2.57-2.79, 1 Ag 2.70
Ga2 0.1354 0.8556 0.2798  3 Ga 2.65-2.79, 1 Ag 2.88
Ga3 0.2930 0.6593 0.6338  4 Ga 2.57-2.79, 1 Ag 2.70
Ga4 0.4242 0.1444 0.2798  3 Ga 2.65-2.79, 1 Ag 2.88
Ga5 0.5758 0.8556 0.7202  3 Ga 2.65-2.79, 1 Ag 2.88
Ga6 0.7070 0.3407 0.3662  4 Ga 2.57-2.79, 1 Ag 2.70
Ga7 0.8646 0.1444 0.7202  3 Ga 2.65-2.79, 1 Ag 2.88
Ga8 0.9745 0.3407 0.6338  4 Ga 2.57-2.79, 1 Ag 2.70
Ag1 0.3024 0.5000 0.8024  6 Ga 2.70-2.99, 2 Ag 2.94
Ag2 0.5000 0.0000 0.5000  4 Ga 2.88, 4 Ag 2.94
Ag3 0.6976 0.5000 0.1976  6 Ga 2.70-2.99, 2 Ag 2.94

Summary:
* density of states at the Fermi level: 3.1 states/eV/cell
* formation enthalpy at 0 K: -0.512 eV per atom


(2)
Crystalline LaGa4Ag4 at its relaxed geometry, computed with PBE.

Cell lengths 6.3026, 6.3026, 9.1465 Å; angles 90.00, 90.00, 90.00 degrees
With the nearest neighbours (Å) after each atom.
Positions (direct):
La1 0.2500 0.7500 0.2500  4 Ga 3.29, 8 Ag 3.55
La2 0.7500 0.2500 0.7500  4 Ga 3.29, 8 Ag 3.55
Ga1 0.0364 0.2500 0.0513  5 Ag 2.65-2.74, 1 Ga 2.69
Ga2 0.2500 0.0364 0.5513  5 Ag 2.65-2.74, 1 Ga 2.69
Ga3 0.2500 0.4636 0.5513  5 Ag 2.65-2.74, 1 Ga 2.69
Ga4 0.4636 0.2500 0.0513  5 Ag 2.65-2.74, 1 Ga 2.69
Ga5 0.5364 0.7500 0.9487  5 Ag 2.65-2.74, 1 Ga 2.69
Ga6 0.7500 0.5364 0.4487  5 Ag 2.65-2.74, 1 Ga 2.69
Ga7 0.7500 0.9636 0.4487  5 Ag 2.65-2.74, 1 Ga 2.69
Ga8 0.9636 0.7500 0.9487  5 Ag 2.65-2.74, 1 Ga 2.69
Ag1 0.0255 0.2500 0.3409  5 Ga 2.65-2.74, 3 Ag 2.83-2.97
Ag2 0.2500 0.0255 0.8409  5 Ga 2.65-2.74, 3 Ag 2.83-2.97
Ag3 0.2500 0.4745 0.8409  5 Ga 2.65-2.74, 3 Ag 2.83-2.97
Ag4 0.4745 0.2500 0.3409  5 Ga 2.65-2.74, 3 Ag 2.83-2.97
Ag5 0.5255 0.7500 0.6591  5 Ga 2.65-2.74, 3 Ag 2.83-2.97
Ag6 0.7500 0.5255 0.1591  5 Ga 2.65-2.74, 3 Ag 2.83-2.97
Ag7 0.7500 0.9745 0.1591  5 Ga 2.65-2.74, 3 Ag 2.83-2.97
Ag8 0.9745 0.7500 0.6591  5 Ga 2.65-2.74, 3 Ag 2.83-2.97

Summary:
* density of states at the Fermi level: 9.7 states/eV/cell
* formation enthalpy at 0 K: -0.189 eV per atom


(3)
Crystalline La7Ga2Ag2 at its relaxed geometry, computed with PBE.

Cell lengths 6.9557, 6.9557, 7.5124 Å; angles 90.00, 90.00, 108.00 degrees
With the nearest neighbours (Å) after each atom.
Positions (direct):
La1 0.0000 0.0000 0.0000  2 Ag 3.32
La2 0.0000 0.5000 0.2984  1 La 3.03, 2 Ag 3.07, 2 Ga 3.29
La3 0.0000 0.5000 0.7016  1 La 3.03, 2 Ag 3.07, 2 Ga 3.29
La4 0.5000 0.0000 0.2984  1 La 3.03, 2 Ag 3.07, 2 Ga 3.29
La5 0.5000 0.0000 0.7016  1 La 3.03, 2 Ag 3.07, 2 Ga 3.29
La6 0.5000 0.5000 0.2943  1 La 3.09, 2 Ag 3.20, 2 Ga 3.22
La7 0.5000 0.5000 0.7057  1 La 3.09, 2 Ag 3.20, 2 Ga 3.22
Ga1 0.1549 0.1549 0.5000  1 Ga 2.53
Ga2 0.8451 0.8451 0.5000  1 Ga 2.53
Ag1 0.2947 0.7053 0.0000  7 La 3.07-3.32
Ag2 0.7053 0.2947 0.0000  7 La 3.07-3.32

Summary:
* density of states at the Fermi level: 10.4 states/eV/cell
* formation enthalpy at 0 K: -0.116 eV per atom


(4)
Crystalline LaGa2Ag2 at its relaxed geometry, computed with PBE.

Cell lengths 6.5120, 6.5120, 6.5120 Å; angles 139.69, 139.69, 58.32 degrees
With the nearest neighbours (Å) after each atom.
Positions (direct):
La1 0.0000 0.0000 0.0000  8 Ag 3.46, 8 Ga 3.62
Ga1 0.2500 0.7500 0.5000  4 Ag 2.68
Ga2 0.7500 0.2500 0.5000  4 Ag 2.68
Ag1 0.3786 0.3786 0.0000  4 Ga 2.68, 1 Ag 2.76
Ag2 0.6214 0.6214 0.0000  4 Ga 2.68, 1 Ag 2.76

Summary:
* density of states at the Fermi level: 3.6 states/eV/cell
* formation enthalpy at 0 K: -0.323 eV per atom


(5)
Crystalline La5Ga4Ag at its relaxed geometry, computed with PBE.

Cell lengths 3.7584, 3.7584, 19.1310 Å; angles 90.00, 90.00, 90.00 degrees
With the nearest neighbours (Å) after each atom.
Positions (direct):
La1 0.0000 0.0000 0.0000  8 Ga 3.26
La2 0.0000 0.0000 0.1974  8 Ga 3.26-3.28
La3 0.0000 0.0000 0.3930  4 Ga 3.22, 4 Ag 3.35
La4 0.0000 0.0000 0.6070  4 Ga 3.22, 4 Ag 3.35
La5 0.0000 0.0000 0.8026  8 Ga 3.26-3.28
Ga1 0.5000 0.5000 0.0988  8 La 3.26
Ga2 0.5000 0.5000 0.2982  8 La 3.22-3.28
Ga3 0.5000 0.5000 0.7018  8 La 3.22-3.28
Ga4 0.5000 0.5000 0.9012  8 La 3.26
Ag1 0.5000 0.5000 0.5000  8 La 3.35

Summary:
* density of states at the Fermi level: 7.3 states/eV/cell
* formation enthalpy at 0 K: -0.511 eV per atom


(6)
Crystalline LaGa2Ag at its relaxed geometry, computed with PBE.

Cell lengths 4.4583, 4.6795, 4.6795 Å; angles 76.73, 90.00, 90.00 degrees
With the nearest neighbours (Å) after each atom.
Positions (direct):
La1 0.0000 0.0000 0.0000  4 Ga 2.91-3.08
Ga1 0.0000 0.4693 0.4693  2 Ga 2.59, 2 Ag 2.66
Ga2 0.5000 0.2905 0.2905  2 Ga 2.59, 1 Ag 2.77
Ag1 0.5000 0.6674 0.6674  3 Ga 2.66-2.77

Summary:
* density of states at the Fermi level: 2.0 states/eV/cell
* formation enthalpy at 0 K: -0.246 eV per atom
* excess energy over the best structure of this formula in the dataset: 100.8 kJ/mol of formula units


(7)
Crystalline La2GaAg2 at its relaxed geometry, computed with PBE.

Cell lengths 5.7833, 5.7833, 5.7833 Å; angles 117.65, 117.65, 94.13 degrees
With the nearest neighbours (Å) after each atom.
Positions (direct):
La1 0.2500 0.7500 0.5000  4 Ag 3.07
La2 0.7500 0.2500 0.5000  4 Ag 3.07
Ga1 0.0000 0.0000 0.0000  2 Ag 2.65
Ag1 0.3369 0.3369 0.0000  1 Ag 2.57, 1 Ga 2.65
Ag2 0.6631 0.6631 0.0000  1 Ag 2.57, 1 Ga 2.65

Summary:
* density of states at the Fermi level: 4.6 states/eV/cell
* formation enthalpy at 0 K: -0.114 eV per atom
* excess energy over the best structure of this formula in the dataset: 121.4 kJ/mol of formula units


(8)
Crystalline LaGa12Ag6 at its relaxed geometry, computed with PBE.

Cell lengths 7.4395, 7.4395, 7.4395 Å; angles 102.95, 102.95, 102.95 degrees
With the nearest neighbours (Å) after each atom.
Positions (direct):
La1 0.0000 0.0000 0.0000  6 Ga 3.29
Ga1 0.1060 0.5000 0.8940  1 Ga 2.47, 2 Ag 2.63
Ga2 0.1060 0.8940 0.5000  1 Ga 2.47, 2 Ag 2.63
Ga3 0.1366 0.3791 0.3791  4 Ag 2.76-2.91, 4 Ga 2.82-2.85
Ga4 0.3791 0.1365 0.3791  4 Ag 2.76-2.91, 4 Ga 2.82-2.85
Ga5 0.3791 0.3791 0.1366  4 Ag 2.76-2.91, 4 Ga 2.82-2.85
Ga6 0.5000 0.1060 0.8940  1 Ga 2.47, 2 Ag 2.63
Ga7 0.5000 0.8940 0.1060  1 Ga 2.47, 2 Ag 2.63
Ga8 0.6209 0.6209 0.8634  4 Ag 2.76-2.91, 4 Ga 2.82-2.85
Ga9 0.6209 0.8634 0.6209  4 Ag 2.76-2.91, 4 Ga 2.82-2.85
Ga10 0.8634 0.6209 0.6209  4 Ag 2.76-2.91, 4 Ga 2.82-2.85
Ga11 0.8940 0.1060 0.5000  1 Ga 2.47, 2 Ag 2.63
Ga12 0.8940 0.5000 0.1060  1 Ga 2.47, 2 Ag 2.63
Ag1 0.2788 0.6980 0.6980  6 Ga 2.63-2.91
Ag2 0.3020 0.3020 0.7212  6 Ga 2.63-2.91
Ag3 0.3020 0.7212 0.3020  6 Ga 2.63-2.91
Ag4 0.6980 0.2788 0.6980  6 Ga 2.63-2.91
Ag5 0.6980 0.6980 0.2788  6 Ga 2.63-2.91
Ag6 0.7212 0.3020 0.3020  6 Ga 2.63-2.91

Summary:
* density of states at the Fermi level: 6.4 states/eV/cell
* formation enthalpy at 0 K: -0.064 eV per atom


(9)
Crystalline La4GaAg at its relaxed geometry, computed with PBE.

Cell lengths 7.9677, 7.9677, 5.6899 Å; angles 90.00, 90.00, 90.00 degrees
With the nearest neighbours (Å) after each atom.
Positions (direct):
La1 0.1526 0.3364 0.0000  2 Ga 3.27, 2 Ag 3.37, 3 La 3.52-3.56
La2 0.1526 0.6636 0.5000  2 Ga 3.27, 2 Ag 3.37, 3 La 3.52-3.56
La3 0.3364 0.1526 0.5000  2 Ga 3.27, 2 Ag 3.37, 3 La 3.52-3.56
La4 0.3364 0.8474 0.0000  2 Ga 3.27, 2 Ag 3.37, 3 La 3.52-3.56
La5 0.6636 0.1526 0.0000  2 Ga 3.27, 2 Ag 3.37, 3 La 3.52-3.56
La6 0.6636 0.8474 0.5000  2 Ga 3.27, 2 Ag 3.37, 3 La 3.52-3.56
La7 0.8474 0.3364 0.5000  2 Ga 3.27, 2 Ag 3.37, 3 La 3.52-3.56
La8 0.8474 0.6636 0.0000  2 Ga 3.27, 2 Ag 3.37, 3 La 3.52-3.56
Ga1 0.0000 0.0000 0.2500  2 Ga 2.84
Ga2 0.0000 0.0000 0.7500  2 Ga 2.84
Ag1 0.5000 0.5000 0.2500  2 Ag 2.84
Ag2 0.5000 0.5000 0.7500  2 Ag 2.84

Summary:
* density of states at the Fermi level: 16.6 states/eV/cell
* formation enthalpy at 0 K: -0.255 eV per atom
* excess energy over the best structure of this formula in the dataset: 0.0 kJ/mol of formula units


(10)
Crystalline La6Ga2Ag at its relaxed geometry, computed with PBE.

Cell lengths 6.4919, 8.6274, 11.5793 Å; angles 90.00, 120.07, 90.00 degrees
With the nearest neighbours (Å) after each atom.
Positions (direct):
La1 0.0690 0.1524 0.4413  3 Ga 3.15-3.36, 1 Ag 3.16, 1 La 3.28
La2 0.0690 0.3476 0.9413  3 Ga 3.15-3.36, 1 Ag 3.16, 1 La 3.28
La3 0.3357 0.6903 0.4326  1 Ag 3.12, 3 Ga 3.26-3.45
La4 0.3357 0.8097 0.9326  1 Ag 3.12, 3 Ga 3.26-3.45
La5 0.4220 0.0430 0.2828  1 Ag 3.06, 2 Ga 3.20-3.23
La6 0.4220 0.4570 0.7828  1 Ag 3.06, 2 Ga 3.20-3.23
La7 0.5780 0.5430 0.2172  1 Ag 3.06, 2 Ga 3.20-3.23
La8 0.5780 0.9570 0.7172  1 Ag 3.06, 2 Ga 3.20-3.23
La9 0.6643 0.1903 0.0674  1 Ag 3.12, 3 Ga 3.26-3.45
La10 0.6643 0.3097 0.5674  1 Ag 3.12, 3 Ga 3.26-3.45
La11 0.9310 0.6524 0.0587  3 Ga 3.15-3.36, 1 Ag 3.16, 1 La 3.28
La12 0.9310 0.8476 0.5587  3 Ga 3.15-3.36, 1 Ag 3.16, 1 La 3.28
Ga1 0.1747 0.1275 0.7562  8 La 3.15-3.45
Ga2 0.1747 0.3725 0.2562  8 La 3.15-3.45
Ga3 0.8253 0.6275 0.7438  8 La 3.15-3.45
Ga4 0.8253 0.8725 0.2438  8 La 3.15-3.45
Ag1 0.0000 0.0000 0.0000  6 La 3.06-3.16
Ag2 0.0000 0.5000 0.5000  6 La 3.06-3.16

Summary:
* density of states at the Fermi level: 20.4 states/eV/cell
* formation enthalpy at 0 K: -0.242 eV per atom
* excess energy over the best structure of this formula in the dataset: 50.6 kJ/mol of formula units